[1]
Density functional theory data (GGA-PBE) for a relaxed ZrAl2Co crystal.

Calculated values
**Symmetry**: R-3m, No. 166
**Energy of formation**: -119 meV/atom

Structure (POSCAR):
```
ZrAl2Co
1.0
9.0205 0.0101 0.0059
8.5487 2.8791 0.0059
8.5487 1.4058 2.5125
Co Al Zr
1 2 1
Direct
0.2500 0.2500 0.2500 Co
0.5149 0.5149 0.5149 Al
0.9851 0.9851 0.9851 Al
0.7500 0.7500 0.7500 Zr
```



[2]
Density functional theory data (GGA-PBE) for a relaxed Sm8Y3Tm3 crystal.

Calculated values
**Symmetry**: Immm, No. 71
**Energy of formation**: 101 meV/atom

Structure (POSCAR):
```
Sm8Y3Tm3
1.0
5.5321 -0.0010 1.1104
2.7167 9.2706 0.7973
1.0467 -3.1512 9.1069
Sm Y Tm
8 3 3
Direct
0.8383 0.7650 0.5582 Sm
0.3419 0.4349 0.8810 Sm
0.6581 0.1190 0.5651 Sm
0.1617 0.4418 0.2350 Sm
0.3419 0.8810 0.4349 Sm
0.8383 0.5582 0.7650 Sm
0.1617 0.2350 0.4418 Sm
0.6581 0.5651 0.1190 Sm
0.0000 0.8208 0.1792 Y
0.0000 0.1792 0.8208 Y
0.5000 0.0000 0.0000 Y
0.7984 0.2016 0.2016 Tm
0.5000 0.5000 0.5000 Tm
0.2016 0.7984 0.7984 Tm
```



[3]
Density functional theory data (GGA-PBE) for a relaxed Pm3HgB4O12 crystal.

Calculated values
**Symmetry**: R32, No. 155

Structure (POSCAR):
```
Pm3HgB4O12
1.0
6.6788 0.0987 0.1372
-1.5134 6.5058 0.1372
-1.5134 -1.9350 6.2129
O Pm Hg B
12 3 1 4
Direct
0.6300 0.8373 0.0236 O
0.3700 0.9764 0.1627 O
0.3672 0.6328 0.5000 O
0.8943 0.5000 0.1057 O
0.9764 0.1627 0.3700 O
0.5000 0.3672 0.6328 O
0.8373 0.0236 0.6300 O
0.1057 0.8943 0.5000 O
0.0236 0.6300 0.8373 O
0.1627 0.3700 0.9764 O
0.5000 0.1057 0.8943 O
0.6328 0.5000 0.3672 O
0.5275 0.4725 0.0000 Pm
0.4725 0.0000 0.5275 Pm
0.0000 0.5275 0.4725 Pm
0.0000 0.0000 0.0000 Hg
0.0260 0.5000 0.9740 B
0.9740 0.0260 0.5000 B
0.5000 0.9740 0.0260 B
0.5000 0.5000 0.5000 B
```



[4]
Density functional theory data (GGA-PBE) for a relaxed AcSmAgPd crystal.

Calculated values
**Symmetry**: F-43m, No. 216
**Energy of formation**: -458 meV/atom
**Distance to the lowest polymorph of the same formula**: 1.02 kcal/mol of atoms

Structure (POSCAR):
```
AcSmAgPd
1.0
5.3345 0.0000 0.0000
2.6673 4.6198 0.0000
2.6673 1.5399 4.3556
Sm Ag Pd Ac
1 1 1 1
Direct
0.7500 0.7500 0.7500 Sm
0.5000 0.5000 0.5000 Ag
0.0000 0.0000 0.0000 Pd
0.2500 0.2500 0.2500 Ac
```



[5]
Density functional theory data (GGA-PBE) for a relaxed NiPd2Pt6 crystal.

Calculated values
**Symmetry**: P4_2/mnm, No. 136
**Energy of formation**: -43 meV/atom
**Distance to the lowest polymorph of the same formula**: 0.14 kcal/mol of atoms

Structure (POSCAR):
```
NiPd2Pt6
1.0
3.9362 0.0000 -0.0003
0.0000 8.3294 0.0000
0.0006 0.0000 8.3293
Pt Ni Pd
12 2 4
Direct
0.5000 0.8295 0.9977 Pt
0.0000 0.6634 0.8366 Pt
0.5000 0.1705 0.0023 Pt
0.5000 0.5023 0.6705 Pt
0.0000 0.6705 0.4977 Pt
0.0000 0.3295 0.5023 Pt
0.5000 0.8366 0.3366 Pt
0.0000 0.3366 0.1634 Pt
0.0000 0.0023 0.8295 Pt
0.0000 0.9977 0.1705 Pt
0.5000 0.1634 0.6634 Pt
0.5000 0.4977 0.3295 Pt
0.5000 0.5000 0.0000 Ni
0.0000 0.0000 0.5000 Ni
0.0000 0.6631 0.1631 Pd
0.5000 0.8369 0.6631 Pd
0.5000 0.1631 0.3369 Pd
0.0000 0.3369 0.8369 Pd
```



[6]
Density functional theory data (GGA-PBE) for a relaxed TbCuGe2Pt crystal.

Calculated values
**Symmetry**: I-4m2, No. 119
**Energy of formation**: -686 meV/atom

Structure (POSCAR):
```
TbCuGe2Pt
1.0
-2.7730 1.4206 -2.7356
-0.1114 -3.7234 -1.8207
-2.4422 -0.2914 5.4664
Pt Ge Tb Cu
1 2 1 1
Direct
0.2500 0.7500 0.5000 Pt
0.6172 0.6172 0.2343 Ge
0.3828 0.3828 0.7657 Ge
0.0000 0.0000 0.0000 Tb
0.7500 0.2500 0.5000 Cu
```



[7]
Density functional theory data (GGA-PBE) for a relaxed Ba2LaW crystal.

Calculated values
**Symmetry**: Imm2, No. 44
**Energy of formation**: 828 meV/atom
**Distance to the lowest polymorph of the same formula**: 2.17 kcal/mol of atoms

Structure (POSCAR):
```
Ba2LaW
1.0
-3.0976 -3.2534 -5.9987
-4.2691 -6.1259 0.6424
1.3999 7.2356 1.3605
La Ba W
1 2 1
Direct
0.4281 0.4281 0.0000 La
0.7404 0.2404 0.5000 Ba
0.0564 0.0564 0.0000 Ba
0.2751 0.7751 0.5000 W
```



[8]
Density functional theory data (GGA-PBE) for a relaxed CuSiSe2 crystal.

Calculated values
**Symmetry**: P2/m, No. 10

Structure (POSCAR):
```
CuSiSe2
1.0
3.4442 0.0000 0.0000
0.0000 4.2524 -0.0788
0.0000 -1.2507 6.4870
Si Se Cu
1 2 1
Direct
0.5000 0.2500 0.2500 Si
0.0000 0.0319 0.9927 Se
0.0000 0.4681 0.5073 Se
0.5000 0.7500 0.7500 Cu
```



Per-record calculated total energy, eV/atom: -5.90 -4.94 -7.57 -4.68 -5.87 -5.49 -4.60 -3.95